LaEr3In2 (PBE, relaxed); SG = No. 12; energy relative to the lowest polymorph listed for this composition = 0.088 eV/atom; ΔH_f (0 K) = -0.2568 eV per atom
1.0
8.163 -2.700 0.000
8.163 2.700 0.000
-4.429 0.000 8.072
La Er In
2 6 4
direct
0.132 0.132 0.172 La
0.868 0.868 0.828 La
0.061 0.061 0.714 Er
0.307 0.307 0.010 Er
0.385 0.385 0.459 Er
0.615 0.615 0.541 Er
0.693 0.693 0.990 Er
0.939 0.939 0.286 Er
0.226 0.226 0.596 In
0.484 0.484 0.832 In
0.516 0.516 0.168 In
0.774 0.774 0.404 In

***

NaH7Pt4 (PBE, relaxed); SG = No. 31; energy = -4.107 eV per atom
1.0
9.075 0.000 0.000
0.000 5.567 0.000
0.000 0.000 5.076
Na H Pt
2 14 8
direct
0.000 0.235 0.000 Na
0.500 0.765 0.500 Na
0.000 0.620 0.487 H
0.131 0.879 0.758 H
0.156 0.366 0.373 H
0.218 0.782 0.323 H
0.282 0.218 0.823 H
0.344 0.634 0.873 H
0.369 0.121 0.258 H
0.500 0.380 0.987 H
0.631 0.121 0.258 H
0.656 0.634 0.873 H
0.718 0.218 0.823 H
0.782 0.782 0.323 H
0.844 0.366 0.373 H
0.869 0.879 0.758 H
0.177 0.595 0.611 Pt
0.204 0.093 0.531 Pt
0.296 0.907 0.031 Pt
0.323 0.405 0.111 Pt
0.677 0.405 0.111 Pt
0.704 0.907 0.031 Pt
0.796 0.093 0.531 Pt
0.823 0.595 0.611 Pt

***

Dy2AgPd8 (PBE, relaxed); SG = No. 12; ΔH_f (0 K) = -0.5165 eV per atom
1.0
7.293 -2.115 0.000
7.293 2.115 0.000
-1.982 0.000 6.239
Dy Ag Pd
2 1 8
direct
0.216 0.216 0.166 Dy
0.784 0.784 0.834 Dy
0.500 0.500 0.500 Ag
0.035 0.035 0.223 Pd
0.142 0.142 0.682 Pd
0.329 0.329 0.600 Pd
0.408 0.408 0.055 Pd
0.592 0.592 0.945 Pd
0.671 0.671 0.400 Pd
0.858 0.858 0.318 Pd
0.965 0.965 0.777 Pd

***

AsRuW4 (PBE, relaxed); SG = No. 216; ΔH_f (0 K) = 0.8057 eV per atom
1.0
0.000 3.716 3.716
3.716 0.000 3.716
3.716 3.716 0.000
As Ru W
1 1 4
direct
0.000 0.000 0.000 As
0.750 0.750 0.750 Ru
0.375 0.375 0.375 W
0.375 0.375 0.876 W
0.375 0.876 0.375 W
0.876 0.375 0.375 W

***

RbNa2Ga2 (PBE, relaxed); SG = No. 139; energy relative to the lowest polymorph listed for this composition = 0.002 eV/atom; ΔH_f (0 K) = 0.0567 eV per atom
1.0
-2.833 2.833 5.176
2.833 -2.833 5.176
2.833 2.833 -5.176
Rb Na Ga
1 2 2
direct
0.000 0.000 0.000 Rb
0.250 0.750 0.500 Na
0.750 0.250 0.500 Na
0.382 0.382 0.000 Ga
0.618 0.618 0.000 Ga